#1
MnInBRh2: optimized geometry, PBE.

Calculated values
calculated volume: 79.99 Å³ per cell
theoretical density: 8.0 g cm⁻³

Cell and atoms, written as CIF:
```
data_MnInBRh2
_chemical_formula_sum 'Mn1 In1 B1 Rh2'
_cell_length_a 4.543
_cell_length_b 4.543
_cell_length_c 3.876
_cell_angle_alpha 90.00
_cell_angle_beta 90.00
_cell_angle_gamma 90.00
_space_group_name_H-M_alt 'P 4/m m m'
_space_group_IT_number 123
_space_group_name_Hall '-P 4 2'
loop_
_atom_site_label
_atom_site_fract_x
_atom_site_fract_y
_atom_site_fract_z
Mn1 0.000 0.000 0.000
In1 0.500 0.500 0.500
B1 0.000 0.000 0.500
Rh1 0.000 0.500 0.000
```

---

#2
MnInBRh2: optimized geometry, PBE.

Calculated values
calculated volume: 70.32 Å³ per cell
theoretical density: 9.1 g cm⁻³

Cell and atoms, written as CIF:
```
data_MnInBRh2
_chemical_formula_sum 'Mn1 In1 B1 Rh2'
_cell_length_a 4.164
_cell_length_b 4.164
_cell_length_c 4.055
_cell_angle_alpha 90.00
_cell_angle_beta 90.00
_cell_angle_gamma 90.00
_space_group_name_H-M_alt 'P 4/m m m'
_space_group_IT_number 123
_space_group_name_Hall '-P 4 2'
loop_
_atom_site_label
_atom_site_fract_x
_atom_site_fract_y
_atom_site_fract_z
Mn1 0.000 0.000 0.000
In1 0.500 0.500 0.000
B1 0.000 0.000 0.500
Rh1 0.000 0.500 0.500
```

---

#2 is the most stable structure; the next one sits 103.2 kJ/mol of atoms above it.

---

#1
In2BN: optimized geometry, PBE.

Calculated values
calculated volume: 239.85 Å³ per cell
theoretical density: 7.0 g cm⁻³

Cell and atoms, written as CIF:
```
data_In2BN
_chemical_formula_sum 'In8 B4 N4'
_cell_length_a 6.213
_cell_length_b 6.213
_cell_length_c 6.213
_cell_angle_alpha 90.00
_cell_angle_beta 90.00
_cell_angle_gamma 90.00
_space_group_name_H-M_alt 'F m -3 m'
_space_group_IT_number 225
_space_group_name_Hall '-F 4 2 3'
loop_
_atom_site_label
_atom_site_fract_x
_atom_site_fract_y
_atom_site_fract_z
In1 0.250 0.250 0.250
B1 0.000 0.000 0.000
N1 0.000 0.000 0.500
```

---

#2
In2BN: optimized geometry, PBE.

Calculated values
calculated volume: 285.50 Å³ per cell
theoretical density: 5.9 g cm⁻³

Cell and atoms, written as CIF:
```
data_In2BN
_chemical_formula_sum 'In8 B4 N4'
_cell_length_a 5.448
_cell_length_b 5.448
_cell_length_c 9.619
_cell_angle_alpha 90.00
_cell_angle_beta 90.00
_cell_angle_gamma 90.00
_space_group_name_H-M_alt 'I -4 2 d'
_space_group_IT_number 122
_space_group_name_Hall 'I -4 2bw'
loop_
_atom_site_label
_atom_site_fract_x
_atom_site_fract_y
_atom_site_fract_z
In1 0.227 0.250 0.125
B1 0.000 0.000 0.500
N1 0.000 0.000 0.000
```

---

#2 is the most stable structure; the next one sits 72.3 kJ/mol of atoms above it.

---

#1
InBN2: optimized geometry, PBE.

Calculated values
calculated volume: 102.42 Å³ per cell
theoretical density: 5.0 g cm⁻³

Cell and atoms, written as CIF:
```
data_InBN2
_chemical_formula_sum 'In2 B2 N4'
_cell_length_a 3.4583
_cell_length_b 3.4583
_cell_length_c 9.8890
_cell_angle_alpha 90.00
_cell_angle_beta 90.00
_cell_angle_gamma 120.00
_space_group_name_H-M_alt 'P 63/m m c'
_space_group_IT_number 194
_space_group_name_Hall '-P 6c 2c'
loop_
_atom_site_label
_atom_site_fract_x
_atom_site_fract_y
_atom_site_fract_z
In1 0.0000 0.0000 0.0000
B1 0.3333 0.6667 0.2500
N1 0.3333 0.6667 0.1143
```

---

#2
InBN2: optimized geometry, PBE.

Calculated values
calculated volume: 157.08 Å³ per cell
theoretical density: 6.5 g cm⁻³

Cell and atoms, written as CIF:
```
data_InBN2
_chemical_formula_sum 'In4 B4 N8'
_cell_length_a 4.534
_cell_length_b 4.534
_cell_length_c 7.640
_cell_angle_alpha 90.00
_cell_angle_beta 90.00
_cell_angle_gamma 90.00
_space_group_name_H-M_alt 'I -4 2 d'
_space_group_IT_number 122
_space_group_name_Hall 'I -4 2bw'
loop_
_atom_site_label
_atom_site_fract_x
_atom_site_fract_y
_atom_site_fract_z
In1 0.000 0.000 0.000
B1 0.000 0.000 0.500
N1 0.145 0.250 0.625
```

---

#1 is the most stable structure; the next one sits 4.8 kJ/mol of atoms above it.

---

#1
InBN2: optimized geometry, PBE.

Calculated values
calculated volume: 153.60 Å³ per cell
theoretical density: 5.0 g cm⁻³

Cell and atoms, written as CIF:
```
data_InBN2
_chemical_formula_sum 'In3 B3 N6'
_cell_length_a 3.4580
_cell_length_b 3.4580
_cell_length_c 14.8323
_cell_angle_alpha 90.00
_cell_angle_beta 90.00
_cell_angle_gamma 120.00
_space_group_name_H-M_alt 'R -3 m'
_space_group_IT_number 166
_space_group_name_Hall '-R 3 2"'
loop_
_atom_site_label
_atom_site_fract_x
_atom_site_fract_y
_atom_site_fract_z
In1 0.0000 0.0000 0.0000
B1 0.0000 0.0000 0.5000
N1 0.0000 0.0000 0.4096
```

---

#2
InBN2: optimized geometry, PBE.

Calculated values
calculated volume: 163.76 Å³ per cell
theoretical density: 6.2 g cm⁻³

Cell and atoms, written as CIF:
```
data_InBN2
_chemical_formula_sum 'In4 B4 N8'
_cell_length_a 5.471
_cell_length_b 5.471
_cell_length_c 5.471
_cell_angle_alpha 90.00
_cell_angle_beta 90.00
_cell_angle_gamma 90.00
_space_group_name_H-M_alt 'F m -3 m'
_space_group_IT_number 225
_space_group_name_Hall '-F 4 2 3'
loop_
_atom_site_label
_atom_site_fract_x
_atom_site_fract_y
_atom_site_fract_z
In1 0.000 0.000 0.000
B1 0.000 0.000 0.500
N1 0.250 0.250 0.250
```

---

#1 is the most stable structure; the next one sits 230.6 kJ/mol of atoms above it.

---

#1
InBS2N: optimized geometry, PBE.

Calculated values
calculated volume: 97.42 Å³ per cell
theoretical density: 3.5 g cm⁻³

Cell and atoms, written as CIF:
```
data_InBS2N
_chemical_formula_sum 'In1 B1 S2 N1'
_cell_length_a 6.131
_cell_length_b 6.131
_cell_length_c 2.592
_cell_angle_alpha 90.00
_cell_angle_beta 90.00
_cell_angle_gamma 90.00
_space_group_name_H-M_alt 'P 4/m m m'
_space_group_IT_number 123
_space_group_name_Hall '-P 4 2'
loop_
_atom_site_label
_atom_site_fract_x
_atom_site_fract_y
_atom_site_fract_z
In1 0.000 0.000 0.000
B1 0.500 0.500 0.500
S1 0.000 0.500 0.500
N1 0.500 0.500 0.000
```

---

#2
InBS2N: optimized geometry, PBE.

Calculated values
calculated volume: 111.38 Å³ per cell
theoretical density: 3.0 g cm⁻³

Cell and atoms, written as CIF:
```
data_InBS2N
_chemical_formula_sum 'In1 B1 S2 N1'
_cell_length_a 5.117
_cell_length_b 5.117
_cell_length_c 4.254
_cell_angle_alpha 90.00
_cell_angle_beta 90.00
_cell_angle_gamma 90.00
_space_group_name_H-M_alt 'P 4/m m m'
_space_group_IT_number 123
_space_group_name_Hall '-P 4 2'
loop_
_atom_site_label
_atom_site_fract_x
_atom_site_fract_y
_atom_site_fract_z
In1 0.000 0.000 0.000
B1 0.500 0.500 0.500
S1 0.000 0.500 0.000
N1 0.000 0.000 0.500
```

---

#1 is the most stable structure; the next one sits 151.9 kJ/mol of atoms above it.

---

#1
InBSe2N: optimized geometry, PBE.

Calculated values
calculated volume: 123.00 Å³ per cell
theoretical density: 4.0 g cm⁻³

Cell and atoms, written as CIF:
```
data_InBSe2N
_chemical_formula_sum 'In1 B1 Se2 N1'
_cell_length_a 5.514
_cell_length_b 5.514
_cell_length_c 4.045
_cell_angle_alpha 90.00
_cell_angle_beta 90.00
_cell_angle_gamma 90.00
_space_group_name_H-M_alt 'P 4/m m m'
_space_group_IT_number 123
_space_group_name_Hall '-P 4 2'
loop_
_atom_site_label
_atom_site_fract_x
_atom_site_fract_y
_atom_site_fract_z
In1 0.000 0.000 0.000
B1 0.500 0.500 0.500
Se1 0.000 0.500 0.000
N1 0.000 0.000 0.500
```

---

#2
InBSe2N: optimized geometry, PBE.

Calculated values
calculated volume: 109.22 Å³ per cell
theoretical density: 4.5 g cm⁻³

Cell and atoms, written as CIF:
```
data_InBSe2N
_chemical_formula_sum 'In1 B1 Se2 N1'
_cell_length_a 6.436
_cell_length_b 6.436
_cell_length_c 2.637
_cell_angle_alpha 90.00
_cell_angle_beta 90.00
_cell_angle_gamma 90.00
_space_group_name_H-M_alt 'P 4/m m m'
_space_group_IT_number 123
_space_group_name_Hall '-P 4 2'
loop_
_atom_site_label
_atom_site_fract_x
_atom_site_fract_y
_atom_site_fract_z
In1 0.000 0.000 0.000
B1 0.500 0.500 0.500
Se1 0.000 0.500 0.500
N1 0.500 0.500 0.000
```

---

#2 is the most stable structure; the next one sits 163.7 kJ/mol of atoms above it.